# 1
{"formula": "KTc2GeP", "functional": "meta-GGA SCAN", "state": "PBEsol geometry", "sg": "No. 123", "formation_energy_ev_per_fu": 4.540, "lattice": [[4.436, 0.000, 0.000], [0.000, 4.436, 0.000], [0.000, 0.000, 5.281]], "species": ["K", "Tc", "Tc", "Ge", "P"], "frac_coords": [[0.000, 0.000, 0.000], [0.000, 0.500, 0.500], [0.500, 0.000, 0.500], [0.500, 0.500, 0.000], [0.000, 0.000, 0.500]]}

---

# 2
{"formula": "KGe3Pb", "functional": "meta-GGA SCAN", "state": "PBEsol geometry", "sg": "No. 221", "formation_energy_ev_per_fu": 7.378, "lattice": [[5.349, 0.000, 0.000], [0.000, 5.349, 0.000], [0.000, 0.000, 5.349]], "species": ["K", "Ge", "Ge", "Ge", "Pb"], "frac_coords": [[0.000, 0.000, 0.000], [0.000, 0.000, 0.500], [0.000, 0.500, 0.000], [0.500, 0.000, 0.000], [0.500, 0.500, 0.500]]}

---

# 3
{"formula": "K2Ge2PbS6", "functional": "meta-GGA SCAN", "state": "PBEsol geometry", "raw_formation_energy_ev_per_atom": -0.83, "sg": "No. 15", "lattice": [[4.614, -7.072, 0.000], [4.614, 7.072, 0.000], [-0.046, 0.000, 8.919]], "species": ["K", "K", "K", "K", "Ge", "Ge", "Ge", "Ge", "Pb", "Pb", "S", "S", "S", "S", "S", "S", "S", "S", "S", "S", "S", "S"], "frac_coords": [[0.041, 0.765, 0.982], [0.235, 0.959, 0.518], [0.765, 0.041, 0.482], [0.959, 0.235, 0.018], [0.158, 0.476, 0.437], [0.476, 0.158, 0.937], [0.524, 0.842, 0.063], [0.842, 0.524, 0.563], [0.481, 0.519, 0.750], [0.519, 0.481, 0.250], [0.025, 0.416, 0.665], [0.156, 0.244, 0.330], [0.244, 0.156, 0.830], [0.319, 0.583, 0.042], [0.416, 0.025, 0.165], [0.417, 0.681, 0.458], [0.583, 0.319, 0.542], [0.584, 0.975, 0.835], [0.681, 0.417, 0.958], [0.756, 0.844, 0.170], [0.844, 0.756, 0.670], [0.975, 0.584, 0.335]]}

---

# 4
{"formula": "KRb2GePd", "functional": "meta-GGA SCAN", "state": "PBEsol geometry", "sg": "No. 123", "formation_energy_ev_per_fu": 1.908, "lattice": [[6.202, 0.000, 0.000], [0.000, 6.202, 0.000], [0.000, 0.000, 6.001]], "species": ["K", "Rb", "Rb", "Ge", "Pd"], "frac_coords": [[0.000, 0.000, 0.000], [0.000, 0.500, 0.500], [0.500, 0.000, 0.500], [0.500, 0.500, 0.000], [0.000, 0.000, 0.500]]}

---

# 5
{"formula": "K2GePt2", "functional": "meta-GGA SCAN", "state": "PBEsol geometry", "sg": "No. 127", "formation_energy_ev_per_fu": -1.592, "lattice": [[6.403, 0.000, 0.000], [0.000, 6.403, 0.000], [0.000, 0.000, 5.513]], "species": ["K", "K", "K", "K", "Ge", "Ge", "Pt", "Pt", "Pt", "Pt"], "frac_coords": [[0.173, 0.327, 0.000], [0.327, 0.827, 0.000], [0.673, 0.173, 0.000], [0.827, 0.673, 0.000], [0.000, 0.000, 0.500], [0.500, 0.500, 0.500], [0.146, 0.646, 0.500], [0.354, 0.146, 0.500], [0.646, 0.854, 0.500], [0.854, 0.354, 0.500]]}

---

# 6
{"formula": "K2Ge2Pt", "functional": "meta-GGA SCAN", "state": "PBEsol geometry", "sg": "No. 127", "formation_energy_ev_per_fu": -1.813, "lattice": [[6.483, 0.000, 0.000], [0.000, 6.483, 0.000], [0.000, 0.000, 5.539]], "species": ["K", "K", "K", "K", "Ge", "Ge", "Ge", "Ge", "Pt", "Pt"], "frac_coords": [[0.187, 0.313, 0.000], [0.313, 0.813, 0.000], [0.687, 0.187, 0.000], [0.813, 0.687, 0.000], [0.135, 0.635, 0.500], [0.365, 0.135, 0.500], [0.635, 0.865, 0.500], [0.865, 0.365, 0.500], [0.000, 0.000, 0.500], [0.500, 0.500, 0.500]]}

---

# 7
{"formula": "KGePt3", "functional": "meta-GGA SCAN", "state": "PBEsol geometry", "sg": "No. 221", "formation_energy_ev_per_fu": 11.444, "lattice": [[4.818, 0.000, 0.000], [0.000, 4.818, 0.000], [0.000, 0.000, 4.818]], "species": ["K", "Ge", "Pt", "Pt", "Pt"], "frac_coords": [[0.000, 0.000, 0.000], [0.500, 0.500, 0.500], [0.000, 0.000, 0.500], [0.000, 0.500, 0.000], [0.500, 0.000, 0.000]]}

---

# 8
{"formula": "KGe2Pt2", "functional": "meta-GGA SCAN", "state": "PBEsol geometry", "sg": "No. 139", "formation_energy_ev_per_fu": -2.766, "lattice": [[-1.995, 1.995, 6.737], [1.995, -1.995, 6.737], [1.995, 1.995, -6.737]], "species": ["K", "Ge", "Ge", "Pt", "Pt"], "frac_coords": [[0.000, 0.000, 0.000], [0.362, 0.362, 0.000], [0.638, 0.638, 0.000], [0.250, 0.750, 0.500], [0.750, 0.250, 0.500]]}

---

# 9
{"formula": "KRb2Ge2", "functional": "meta-GGA SCAN", "state": "PBEsol geometry", "sg": "No. 139", "formation_energy_ev_per_fu": 2.602, "lattice": [[-2.856, 2.856, 6.320], [2.856, -2.856, 6.320], [2.856, 2.856, -6.320]], "species": ["K", "Rb", "Rb", "Ge", "Ge"], "frac_coords": [[0.000, 0.000, 0.000], [0.373, 0.373, 0.000], [0.627, 0.627, 0.000], [0.250, 0.750, 0.500], [0.750, 0.250, 0.500]]}

---

D(E_F): 3.38; 3.93; 0.00; 0.52; 2.62; 1.78; 3.99; 1.47; 3.61 (states/eV/f.u.)
Raw total energy: -20.6789; -26.7990; -17.9599; -19.9522; -35.5446; -25.3678; -45.3104; -37.9312; -17.0762 (eV/atom)
V: 20.8; 30.6; 26.5; 46.2; 22.6; 23.3; 22.4; 21.5; 41.2 (Å³ per atom)